First-principles (SCAN) data for a crystal of LaAg3 relaxed with PBEsol, as listed in Alexandria via LeMat-Bulk.

The structure in POSCAR format:
```
LaAg3
1.0
-4.364 -1.291 -3.179
3.424 -1.296 -4.173
0.228 -5.241 1.815
La Ag
2 6
Cartesian
-0.356 -3.914 -2.769
0.000 0.000 0.000
0.621 -0.971 -2.881
2.682 -3.593 -2.222
0.970 -2.945 -0.136
-2.011 -4.576 -0.228
-2.125 -1.956 -1.136
-1.561 -1.616 -4.471
```

Summary:
ρ, Mg/m³: 9.0
N(E_F), states/eV/atom: 0.073
ΔH_f (0 K), eV/f.u.: -0.725



First-principles (SCAN) data for a crystal of La7Ag relaxed with PBEsol, as listed in Alexandria via LeMat-Bulk.

The structure in POSCAR format:
```
La7Ag
1.0
7.063 0.000 0.000
3.531 6.117 0.000
3.531 2.039 5.767
La Ag
7 1
Cartesian
3.531 4.078 2.883
3.531 0.000 0.000
7.063 4.078 2.883
5.297 1.019 2.883
1.766 3.058 0.000
1.766 1.019 2.883
5.297 3.058 0.000
0.000 0.000 0.000
```

Summary:
ρ, Mg/m³: 7.2
N(E_F), states/eV/atom: 1.280
ΔH_f (0 K), eV/f.u.: -0.012



First-principles (SCAN) data for a crystal of La4Ag3 relaxed with PBEsol, as listed in Alexandria via LeMat-Bulk.

The structure in POSCAR format:
```
La4Ag3
1.0
3.801 0.000 0.000
0.000 3.801 0.000
-1.900 -1.900 12.672
La Ag
4 3
Cartesian
1.900 1.900 8.720
0.000 0.000 3.953
1.900 1.900 1.770
0.000 0.000 10.902
0.000 0.000 0.000
1.900 1.900 5.623
0.000 0.000 7.049
```

Summary:
ρ, Mg/m³: 8.0
N(E_F), states/eV/atom: 0.605
ΔH_f (0 K), eV/f.u.: -1.177



First-principles (SCAN) data for a crystal of LaAg3 relaxed with PBEsol, as listed in Alexandria via LeMat-Bulk.

The structure in POSCAR format:
```
LaAg3
1.0
-2.943 -0.184 0.859
2.128 -1.680 1.442
1.426 7.355 6.463
Ag La
3 1
Cartesian
0.758 0.470 2.699
0.000 0.000 0.000
1.544 4.522 6.259
0.713 3.677 3.231
```

Summary:
ρ, Mg/m³: 9.5
N(E_F), states/eV/atom: 0.443
ΔH_f (0 K), eV/f.u.: 0.451



First-principles (SCAN) data for a crystal of LaAg relaxed with PBEsol, as listed in Alexandria via LeMat-Bulk.

The structure in POSCAR format:
```
LaAg
1.0
3.850 0.000 0.000
0.000 4.839 0.000
-1.925 -2.420 5.419
La Ag
2 2
Cartesian
1.925 3.630 1.094
0.000 -1.210 4.326
1.925 1.210 3.721
0.000 1.210 1.699
```

Summary:
ρ, Mg/m³: 8.1
N(E_F), states/eV/atom: 0.901
ΔH_f (0 K), eV/f.u.: -0.432



First-principles (SCAN) data for a crystal of LaAg relaxed with PBEsol, as listed in Alexandria via LeMat-Bulk.

The structure in POSCAR format:
```
LaAg
1.0
3.716 0.000 0.000
0.000 3.716 0.000
0.000 0.000 3.807
La Ag
1 1
Cartesian
1.858 1.858 1.904
0.000 0.000 0.000
```

Summary:
ρ, Mg/m³: 7.8
N(E_F), states/eV/atom: 0.695
ΔH_f (0 K), eV/f.u.: -0.625



First-principles (SCAN) data for a crystal of LaAg relaxed with PBEsol, as listed in Alexandria via LeMat-Bulk.

The structure in POSCAR format:
```
LaAg
1.0
-5.935 -2.000 1.830
-1.863 -2.268 -8.519
3.922 -9.988 1.802
Ag La
12 12
Cartesian
-0.658 -12.141 -3.771
-0.661 -5.799 -2.665
-5.082 -4.321 -3.756
-3.215 -8.458 -2.222
-1.319 -10.398 1.804
1.207 -9.936 -1.131
-1.018 -8.396 -6.661
-0.250 -1.116 -2.031
-2.556 -3.859 -6.691
-2.857 -5.861 1.774
2.310 -11.141 -4.687
-3.218 -2.116 -1.116
-2.841 -6.580 -4.775
-1.905 -11.289 -1.070
0.126 -5.580 -5.690
-1.034 -7.677 -0.112
0.041 -8.894 -3.771
1.887 -9.284 1.787
-3.917 -5.363 -1.116
-1.970 -2.968 -3.817
-3.324 -10.379 -4.676
-0.551 -3.878 -0.211
-5.762 -4.973 -6.674
1.933 -6.677 -1.028
```

Summary:
ρ, Mg/m³: 7.7
N(E_F), states/eV/atom: 1.029
ΔH_f (0 K), eV/f.u.: -0.474



First-principles (SCAN) data for a crystal of LaAg relaxed with PBEsol, as listed in Alexandria via LeMat-Bulk.

The structure in POSCAR format:
```
LaAg
1.0
-2.450 3.612 -2.532
-3.539 2.749 2.319
0.869 4.856 1.059
La Ag
2 2
Cartesian
-2.560 5.608 0.423
-3.841 8.412 0.634
0.000 0.000 0.000
-1.280 2.804 0.211
```

Summary:
ρ, Mg/m³: 9.0
N(E_F), states/eV/atom: 0.104
ΔH_f (0 K), eV/f.u.: -0.469



First-principles (SCAN) data for a crystal of La3Ag4 relaxed with PBEsol, as listed in Alexandria via LeMat-Bulk.

The structure in POSCAR format:
```
La3Ag4
1.0
3.733 0.000 0.000
0.000 3.733 0.000
-1.866 -1.866 12.231
La Ag
3 4
Cartesian
0.000 0.000 7.311
0.000 0.000 0.000
1.866 1.866 4.920
0.000 0.000 10.409
1.866 1.866 9.077
1.866 1.866 1.822
0.000 0.000 3.154
```

Summary:
ρ, Mg/m³: 8.3
N(E_F), states/eV/atom: 0.536
ΔH_f (0 K), eV/f.u.: -1.435



First-principles (SCAN) data for a crystal of Li2LaAg relaxed with PBEsol, as listed in Alexandria via LeMat-Bulk.

The structure in POSCAR format:
```
Li2LaAg
1.0
3.302 0.000 0.000
-1.651 5.176 0.008
0.000 -1.325 5.182
Li Ag La
2 1 1
Cartesian
0.000 2.462 1.622
1.651 1.389 3.568
0.000 -0.662 2.591
1.651 0.000 0.000
```

Summary:
Distance to the lowest polymorph of the same formula, meV per atom: 23
ρ, Mg/m³: 4.9
N(E_F), states/eV/atom: 0.598
ΔH_f (0 K), eV/f.u.: -0.333



First-principles (SCAN) data for a crystal of Li3LaAg relaxed with PBEsol, as listed in Alexandria via LeMat-Bulk.

The structure in POSCAR format:
```
Li3LaAg
1.0
4.870 0.000 0.000
0.000 4.870 0.000
0.000 0.000 4.870
Li Ag La
3 1 1
Cartesian
0.000 0.000 2.435
2.435 0.000 0.000
0.000 2.435 0.000
0.000 0.000 0.000
2.435 2.435 2.435
```

Summary:
ρ, Mg/m³: 3.8
N(E_F), states/eV/atom: 0.770
ΔH_f (0 K), eV/f.u.: 0.356



First-principles (SCAN) data for a crystal of LiLaAg relaxed with PBEsol, as listed in Alexandria via LeMat-Bulk.

The structure in POSCAR format:
```
LiLaAg
1.0
-0.608 3.405 0.846
-4.636 -0.609 -0.880
1.715 -0.780 4.370
La Li Ag
1 1 1
Cartesian
-0.402 -0.723 2.620
-2.823 1.037 1.293
-0.304 1.702 0.423
```

Summary:
Distance to the lowest polymorph of the same formula, meV per atom: 0
ρ, Mg/m³: 6.0
N(E_F), states/eV/atom: 0.875
ΔH_f (0 K), eV/f.u.: -0.530



First-principles (SCAN) data for a crystal of LiLaAg relaxed with PBEsol, as listed in Alexandria via LeMat-Bulk.

The structure in POSCAR format:
```
LiLaAg
1.0
-2.639 -0.038 2.406
0.937 -3.306 0.975
4.144 3.681 1.953
Li Ag La
1 1 1
Cartesian
2.425 1.480 2.684
2.254 0.222 5.127
0.204 -1.028 2.858
```

Summary:
Distance to the lowest polymorph of the same formula, meV per atom: 29
ρ, Mg/m³: 6.2
N(E_F), states/eV/atom: 0.652
ΔH_f (0 K), eV/f.u.: -0.442



First-principles (SCAN) data for a crystal of Li2LaAg relaxed with PBEsol, as listed in Alexandria via LeMat-Bulk.

The structure in POSCAR format:
```
Li2LaAg
1.0
-1.618 -4.215 0.817
2.391 -2.906 2.625
-2.130 -0.670 5.207
Ag La Li
1 1 2
Cartesian
-0.344 -4.134 3.755
-0.983 -5.868 6.428
-0.387 -1.914 2.243
0.484 -6.915 3.932
```

Summary:
Distance to the lowest polymorph of the same formula, meV per atom: 1
ρ, Mg/m³: 4.7
N(E_F), states/eV/atom: 0.795
ΔH_f (0 K), eV/f.u.: -0.420



First-principles (SCAN) data for a crystal of Li2LaAg relaxed with PBEsol, as listed in Alexandria via LeMat-Bulk.

The structure in POSCAR format:
```
Li2LaAg
1.0
-0.613 2.327 2.250
0.372 -3.640 3.865
5.296 1.623 -2.646
La Li Ag
1 2 1
Cartesian
0.186 -1.820 1.933
2.897 -0.094 3.298
2.159 0.403 0.172
-0.306 1.163 1.125
```

Summary:
Distance to the lowest polymorph of the same formula, meV per atom: 28
ρ, Mg/m³: 4.7
N(E_F), states/eV/atom: 0.651
ΔH_f (0 K), eV/f.u.: -0.310



First-principles (SCAN) data for a crystal of Li2LaAg relaxed with PBEsol, as listed in Alexandria via LeMat-Bulk.

The structure in POSCAR format:
```
Li2LaAg
1.0
3.416 0.000 0.000
0.000 3.416 0.000
0.000 0.000 7.537
Li La Ag
2 1 1
Cartesian
1.708 1.708 2.056
0.000 0.000 0.498
1.708 1.708 5.427
0.000 0.000 3.324
```

Summary:
Distance to the lowest polymorph of the same formula, meV per atom: 0
ρ, Mg/m³: 4.9
N(E_F), states/eV/atom: 0.622
ΔH_f (0 K), eV/f.u.: -0.424



First-principles (SCAN) data for a crystal of La2Mg3Ag9 relaxed with PBEsol, as listed in Alexandria via LeMat-Bulk.

The structure in POSCAR format:
```
La2Mg3Ag9
1.0
5.484 0.000 0.000
-2.742 5.033 0.000
0.000 0.000 10.074
La Ag Mg
2 9 3
Cartesian
-1.371 2.516 2.483
1.371 2.516 7.591
2.742 0.000 0.000
-1.371 2.516 9.496
1.368 4.468 2.525
4.109 0.565 7.549
1.374 0.565 2.525
-1.371 2.516 5.590
-1.368 4.468 7.549
1.371 2.516 0.578
1.371 2.516 4.483
0.000 0.000 5.037
0.000 0.000 0.000
2.742 0.000 5.037
```

Summary:
ρ, Mg/m³: 7.9
N(E_F), states/eV/atom: 0.432
ΔH_f (0 K), eV/f.u.: -4.291



First-principles (SCAN) data for a crystal of La2MgAg2 relaxed with PBEsol, as listed in Alexandria via LeMat-Bulk.

The structure in POSCAR format:
```
La2MgAg2
1.0
4.098 0.000 0.000
0.000 8.047 0.000
0.000 0.000 8.047
La Mg Ag
4 2 4
Cartesian
2.049 1.378 5.402
2.049 6.669 2.645
2.049 5.402 6.669
2.049 2.645 1.378
0.000 0.000 0.000
0.000 4.024 4.024
0.000 7.025 5.046
0.000 1.022 3.002
0.000 3.002 7.025
0.000 5.046 1.022
```

Summary:
ρ, Mg/m³: 6.5
N(E_F), states/eV/atom: 0.865
ΔH_f (0 K), eV/f.u.: -1.618



First-principles (SCAN) data for a crystal of LaMg2Ag2 relaxed with PBEsol, as listed in Alexandria via LeMat-Bulk.

The structure in POSCAR format:
```
LaMg2Ag2
1.0
4.232 0.000 0.000
0.000 4.232 0.000
-2.116 -2.116 6.450
Mg La Ag
2 1 2
Cartesian
2.116 0.000 3.225
0.000 2.116 3.225
0.000 0.000 0.000
2.116 2.116 1.375
0.000 0.000 5.074
```

Summary:
ρ, Mg/m³: 5.8
N(E_F), states/eV/atom: 0.688
ΔH_f (0 K), eV/f.u.: -1.592



First-principles (SCAN) data for a crystal of LaMg2Ag relaxed with PBEsol, as listed in Alexandria via LeMat-Bulk.

The structure in POSCAR format:
```
LaMg2Ag
1.0
5.112 0.000 0.000
2.556 4.427 0.000
2.556 1.476 4.174
Ag Mg La
1 2 1
Cartesian
5.112 2.951 2.087
0.000 0.000 0.000
7.668 4.427 3.130
2.556 1.476 1.043
```

Summary:
ρ, Mg/m³: 5.2
N(E_F), states/eV/atom: 0.522
ΔH_f (0 K), eV/f.u.: -0.938



First-principles (SCAN) data for a crystal of LaMg2Ag relaxed with PBEsol, as listed in Alexandria via LeMat-Bulk.

The structure in POSCAR format:
```
LaMg2Ag
1.0
4.422 0.000 0.000
0.000 4.422 0.000
0.000 0.000 5.119
Ag Mg La
1 2 1
Cartesian
2.211 2.211 2.560
0.000 2.211 0.000
2.211 0.000 0.000
0.000 0.000 2.560
```

Summary:
ρ, Mg/m³: 4.9
N(E_F), states/eV/atom: 0.737
ΔH_f (0 K), eV/f.u.: -0.352



First-principles (SCAN) data for a crystal of LaMgAg4 relaxed with PBEsol, as listed in Alexandria via LeMat-Bulk.

The structure in POSCAR format:
```
LaMgAg4
1.0
-3.870 1.745 3.618
-3.319 -3.699 2.534
0.613 -1.023 5.449
Ag La Mg
4 1 1
Cartesian
-4.132 -2.978 5.617
-4.410 -0.233 6.163
-2.150 -1.629 7.086
-2.459 -1.113 4.339
-4.932 -2.232 8.702
0.000 0.000 0.000
```

Summary:
ρ, Mg/m³: 8.0
N(E_F), states/eV/atom: 0.442
ΔH_f (0 K), eV/f.u.: -1.531



First-principles (SCAN) data for a crystal of LaMg2Ag relaxed with PBEsol, as listed in Alexandria via LeMat-Bulk.

The structure in POSCAR format:
```
LaMg2Ag
1.0
3.400 0.000 0.000
0.000 3.400 0.000
0.000 0.000 8.205
Ag Mg La
1 2 1
Cartesian
0.000 0.000 3.760
1.700 1.700 2.309
0.000 0.000 0.299
1.700 1.700 5.941
```

Summary:
ρ, Mg/m³: 5.2
N(E_F), states/eV/atom: 0.721
ΔH_f (0 K), eV/f.u.: -0.700



First-principles (SCAN) data for a crystal of LaMnAg3 relaxed with PBEsol, as listed in Alexandria via LeMat-Bulk.

The structure in POSCAR format:
```
LaMnAg3
1.0
5.410 0.000 0.000
0.000 5.410 0.000
0.000 0.000 5.410
Ag Mn La
3 1 1
Cartesian
2.705 0.000 0.000
0.000 0.000 2.705
0.000 2.705 0.000
2.705 2.705 2.705
0.000 0.000 0.000
```

Summary:
ρ, Mg/m³: 5.4
N(E_F), states/eV/atom: 0.392
ΔH_f (0 K), eV/f.u.: 5.794



First-principles (SCAN) data for a crystal of LaMnAg4 relaxed with PBEsol, as listed in Alexandria via LeMat-Bulk.

The structure in POSCAR format:
```
LaMnAg4
1.0
-1.277 4.932 2.088
-4.349 2.767 -1.936
-4.499 0.588 3.118
Mn La Ag
1 1 4
Cartesian
0.000 0.000 0.000
-7.594 6.215 2.453
-4.430 5.585 2.276
-3.787 3.099 1.223
-6.054 3.395 2.795
-5.979 4.494 0.248
```

Summary:
ρ, Mg/m³: 8.8
N(E_F), states/eV/atom: 0.556
ΔH_f (0 K), eV/f.u.: -0.714



First-principles (SCAN) data for a crystal of La2MnAg relaxed with PBEsol, as listed in Alexandria via LeMat-Bulk.

The structure in POSCAR format:
```
La2MnAg
1.0
-1.101 3.552 0.476
-1.538 1.067 3.249
6.730 3.502 4.201
Ag La Mn
1 2 1
Cartesian
0.000 0.000 0.000
2.871 6.040 5.867
1.219 2.081 2.058
2.045 4.061 3.963
```

Summary:
ρ, Mg/m³: 7.2
N(E_F), states/eV/atom: 0.866
ΔH_f (0 K), eV/f.u.: 0.676



First-principles (SCAN) data for a crystal of LaMnAg relaxed with PBEsol, as listed in Alexandria via LeMat-Bulk.

The structure in POSCAR format:
```
LaMnAg
1.0
3.693 0.000 0.000
0.000 4.622 0.000
0.000 -2.311 4.002
Mn La Ag
1 1 1
Cartesian
1.847 0.000 2.668
0.000 2.311 1.334
1.847 0.000 0.000
```

Summary:
ρ, Mg/m³: 7.3
N(E_F), states/eV/atom: 0.885
ΔH_f (0 K), eV/f.u.: -0.455



First-principles (SCAN) data for a crystal of La2MnAg relaxed with PBEsol, as listed in Alexandria via LeMat-Bulk.

The structure in POSCAR format:
```
La2MnAg
1.0
3.295 0.000 0.000
-1.647 3.647 0.033
0.000 -0.996 8.290
La Mn Ag
2 1 1
Cartesian
0.000 1.635 1.887
1.647 1.016 6.435
1.647 0.000 0.000
0.000 -0.498 4.145
```

Summary:
ρ, Mg/m³: 7.3
N(E_F), states/eV/atom: 0.863
ΔH_f (0 K), eV/f.u.: 0.554



Ordered DFT total energy results: -34.483 -41.639 -38.243 -34.189 -37.452 -37.549 -37.473 -37.471 -36.603 -19.896 -16.257 -25.797 -25.768 -19.918 -19.890 -19.919 -27.695 -31.107 -23.476 -21.339 -21.193 -29.180 -21.280 -29.933 -31.257 -33.789 -31.061 -33.820; unit eV/atom.